Entry 1:
Nd4Er3TmS8 after structural relaxation. Source: Alexandria via LeMat-Bulk, functional GGA-PBE.

```
data_Nd4Er3TmS8
_chemical_formula_sum 'Nd12 Er9 Tm3 S24'
_cell_length_a 7.8364
_cell_length_b 7.8364
_cell_length_c 19.9187
_cell_angle_alpha 90.00
_cell_angle_beta 90.00
_cell_angle_gamma 120.00
_symmetry_space_group_name_H-M 'R -3 m'
_symmetry_Int_Tables_number 166
_symmetry_space_group_name_Hall '-R 3 2"'
loop_
_atom_site_label
_atom_site_type_symbol
_atom_site_fract_x
_atom_site_fract_y
_atom_site_fract_z
Nd1 Nd 0.0000 0.0000 0.0000
Nd2 Nd 0.0000 0.5000 0.0000
Er1 Er 0.0000 0.5000 0.5000
Tm1 Tm 0.0000 0.0000 0.5000
S1 S 0.0000 0.0000 0.2431
S2 S 0.0011 0.5005 0.2428
```

Calculated values
Energy relative to the elements, uncorrected = -1995 meV per atom

***

Entry 2:
BeCdCu2 after structural relaxation. Source: Alexandria via LeMat-Bulk, functional GGA-PBE.

```
data_BeCdCu2
_chemical_formula_sum 'Be4 Cd4 Cu8'
_cell_length_a 3.612
_cell_length_b 3.612
_cell_length_c 17.925
_cell_angle_alpha 90.00
_cell_angle_beta 90.00
_cell_angle_gamma 90.00
_symmetry_space_group_name_H-M 'I -4 2 d'
_symmetry_Int_Tables_number 122
_symmetry_space_group_name_Hall 'I -4 2bw'
loop_
_atom_site_label
_atom_site_type_symbol
_atom_site_fract_x
_atom_site_fract_y
_atom_site_fract_z
Be1 Be 0.000 0.000 0.000
Cd1 Cd 0.000 0.000 0.500
Cu1 Cu 0.225 0.250 0.125
```

Calculated values
Offset from the most stable computed form = 427 meV/atom
Formation energy = 43 kJ per mole of atoms

***

Entry 3:
NaCaTcC2 after structural relaxation. Source: Alexandria via LeMat-Bulk, functional GGA-PBE.

```
data_NaCaTcC2
_chemical_formula_sum 'Na1 Ca1 Tc1 C2'
_cell_length_a 4.152
_cell_length_b 4.152
_cell_length_c 5.234
_cell_angle_alpha 90.00
_cell_angle_beta 90.00
_cell_angle_gamma 90.00
_symmetry_space_group_name_H-M 'P 4/m m m'
_symmetry_Int_Tables_number 123
_symmetry_space_group_name_Hall '-P 4 2'
loop_
_atom_site_label
_atom_site_type_symbol
_atom_site_fract_x
_atom_site_fract_y
_atom_site_fract_z
Na1 Na 0.000 0.000 0.000
Ca1 Ca 0.500 0.500 0.000
Tc1 Tc 0.500 0.500 0.500
C1 C 0.000 0.500 0.500
```

Calculated values
Formation energy = 121 kJ per mole of atoms

***

Entry 4:
CrAs2Ir after structural relaxation. Source: Alexandria via LeMat-Bulk, functional GGA-PBE.

```
data_CrAs2Ir
_chemical_formula_sum 'Cr2 As4 Ir2'
_cell_length_a 7.901
_cell_length_b 2.989
_cell_length_c 5.284
_cell_angle_alpha 90.00
_cell_angle_beta 103.10
_cell_angle_gamma 90.00
_symmetry_space_group_name_H-M 'C 1 2/m 1'
_symmetry_Int_Tables_number 12
loop_
_symmetry_equiv_pos_as_xyz
'x,y,z'
'-x,-y,-z'
'-x,y,-z'
'x,-y,z'
'x+1/2,y+1/2,z'
'-x+1/2,-y+1/2,-z'
'-x+1/2,y+1/2,-z'
'x+1/2,-y+1/2,z'
loop_
_atom_site_label
_atom_site_type_symbol
_atom_site_fract_x
_atom_site_fract_y
_atom_site_fract_z
Cr1 Cr 0.000 0.000 0.000
As1 As 0.249 0.500 0.240
Ir1 Ir 0.000 0.500 0.500
```

Calculated values
Offset from the most stable computed form = 162 meV/atom
Formation energy = 12 kJ per mole of atoms

***

The calculation returns the following D(E_F) values, one per record and in order: 19.233, 4.697, 2.649, 5.728 states/eV/cell.